Entry 1:
The following is a PBE-GGA calculation of a relaxed structure of LaTa2Rh, from Alexandria.

abc: 9.8506 9.8506 9.8506
angles: 18.31 18.31 18.31
Last column: nearest neighbours and their distance in Å.
Fractional coordinates of all 4 atoms:
1 La 0.0000 0.0000 0.0000  6 La 3.13, 3 Rh 3.25, 3 Ta 3.35
2 Ta 0.5083 0.5083 0.5083  3 Rh 2.63, 3 Ta 2.90
3 Ta 0.7637 0.7637 0.7637  9 Ta 2.90-3.13
4 Rh 0.2404 0.2404 0.2404  3 Ta 2.63

Values from the calculation:
Symmetry = R3m, No. 160
Energy relative to the lowest polymorph listed for this composition = 0.244 eV/atom
E_tot = -8.82 eV/atom



Entry 2:
The following is a PBE-GGA calculation of a relaxed structure of CaGdIrAu, from Alexandria.

abc: 4.9858 4.9858 4.9858
angles: 60.00 60.00 60.00
Last column: nearest neighbours and their distance in Å.
Fractional coordinates of all 4 atoms:
1 Ca 0.0000 0.0000 0.0000  4 Ir 3.05, 4 Au 3.05
2 Gd 0.5000 0.5000 0.5000  4 Ir 3.05, 4 Au 3.05
3 Ir 0.7500 0.7500 0.7500  4 Gd 3.05, 4 Ca 3.05
4 Au 0.2500 0.2500 0.2500  4 Gd 3.05, 4 Ca 3.05

Values from the calculation:
Symmetry = F-43m, No. 216
E_tot = -7.70 eV/atom



Entry 3:
The following is a PBE-GGA calculation of a relaxed structure of Cr2PbW, from Alexandria.

abc: 2.9341 3.9325 5.8013
angles: 90.00 95.73 90.00
Last column: nearest neighbours and their distance in Å.
Fractional coordinates of all 4 atoms:
1 Cr 0.0000 0.0000 0.0000  2 Cr 2.44, 2 W 2.54
2 Cr 0.3728 0.5000 0.1842  1 W 2.34, 2 Cr 2.44
3 Pb 0.9738 0.0000 0.4834  6 Cr 2.81-3.06, 2 Pb 2.93, 4 W 3.02-3.13
4 W 0.5749 0.5000 0.8032  3 Cr 2.34-2.54

Values from the calculation:
Symmetry = Pm, No. 6
E_tot = -8.29 eV/atom



Entry 4:
The following is a PBE-GGA calculation of a relaxed structure of CsAcP2S8, from Alexandria.

abc: 6.3470 6.3470 10.2287
angles: 90.00 90.00 120.00
Last column: nearest neighbours and their distance in Å.
Fractional coordinates of all 12 atoms:
1 Cs 0.0000 0.0000 0.0000  6 S 3.74
2 Ac 0.0000 0.0000 0.5000  6 S 3.04
3 P 0.3333 0.6667 0.7292  4 S 2.03-2.05
4 P 0.6667 0.3333 0.2708  4 S 2.03-2.05
5 S 0.0010 0.6078 0.3292  1 P 2.05
6 S 0.3333 0.6667 0.9273  1 P 2.03
7 S 0.3922 0.3932 0.3292  1 P 2.05
8 S 0.3932 0.0010 0.6708  1 P 2.05
9 S 0.6068 0.9990 0.3292  1 P 2.05
10 S 0.6078 0.6068 0.6708  1 P 2.05
11 S 0.6667 0.3333 0.0727  1 P 2.03
12 S 0.9990 0.3922 0.6708  1 P 2.05

Values from the calculation:
Energy relative to the elements, uncorrected = -0.644 eV/atom
Symmetry = P-3, No. 147
E_tot = -4.71 eV/atom